Compound: AcPmCuS4
Source: Alexandria via LeMat-Bulk
Functional: PBE
Structure: optimized geometry

Properties
electronic total energy = -5.779 eV/atom
SG = P2_1/m (11)
theoretical density = 5.96 Mg/m³

```
AcPmCuS4
1.0
6.8422 0.0000 0.0000
0.0000 5.7966 0.0000
-2.4685 0.0000 7.9188
Ac Pm Cu S
2 2 2 8
Direct
0.2322 0.2500 0.4322
0.7678 0.7500 0.5678
0.2380 0.2500 0.9377
0.7620 0.7500 0.0623
0.2549 0.7500 0.1847
0.7451 0.2500 0.8153
0.0705 0.7500 0.3769
0.0744 0.7500 0.9046
0.4869 0.5121 0.7579
0.4869 0.9879 0.7579
0.5131 0.0121 0.2421
0.5131 0.4879 0.2421
0.9256 0.2500 0.0954
0.9295 0.2500 0.6231
```

***

Compound: Cd2Ni2Au
Source: Alexandria via LeMat-Bulk
Functional: PBE
Structure: optimized geometry

Properties
electronic total energy = -2.935 eV/atom
ΔE to the lowest computed polymorph = 390.2 meV/atom
SG = I4/mmm (139)
theoretical density = 10.05 Mg/m³
E_form = 0.3995 eV per atom

```
Cd2Ni2Au
1.0
-1.9825 1.9825 5.6669
1.9825 -1.9825 5.6669
1.9825 1.9825 -5.6669
Cd Ni Au
2 2 1
Direct
0.2500 0.7500 0.5000
0.7500 0.2500 0.5000
0.0982 0.0982 0.0000
0.9018 0.9018 0.0000
0.5000 0.5000 0.0000
```

***

Compound: Rb2Li2PaTe4
Source: Alexandria via LeMat-Bulk
Functional: PBE
Structure: optimized geometry

Properties
electronic total energy = -4.139 eV/atom
SG = C2/m (12)
theoretical density = 4.92 Mg/m³

```
Rb2Li2PaTe4
1.0
8.3807 -2.3038 0.0000
8.3807 2.3038 0.0000
-2.8811 0.0000 8.1028
Rb Li Pa Te
2 2 1 4
Direct
0.1379 0.1379 0.0659
0.8621 0.8621 0.9341
0.3192 0.3192 0.5132
0.6808 0.6808 0.4868
0.0000 0.0000 0.5000
0.1944 0.1944 0.6729
0.4849 0.4849 0.7345
0.5151 0.5151 0.2655
0.8056 0.8056 0.3271
```

***

Compound: TlZn2Fe2
Source: Alexandria via LeMat-Bulk
Functional: PBE
Structure: optimized geometry

Properties
electronic total energy = -3.952 eV/atom
ΔE to the lowest computed polymorph = 104.3 meV/atom
SG = I4/mmm (139)
theoretical density = 9.13 Mg/m³
E_form = 0.4159 eV per atom

```
TlZn2Fe2
1.0
-1.8398 1.8398 6.0047
1.8398 -1.8398 6.0047
1.8398 1.8398 -6.0047
Tl Zn Fe
1 2 2
Direct
0.0000 0.0000 0.0000
0.2500 0.7500 0.5000
0.7500 0.2500 0.5000
0.4046 0.4046 0.0000
0.5954 0.5954 0.0000
```

***

Compound: CdSi2Os
Source: Alexandria via LeMat-Bulk
Functional: PBE
Structure: optimized geometry

Properties
electronic total energy = -4.999 eV/atom
SG = F-43m (216)
theoretical density = 9.33 Mg/m³

```
CdSi2Os
1.0
0.0000 3.1727 3.1727
3.1727 0.0000 3.1727
3.1727 3.1727 0.0000
Cd Si Os
1 2 1
Direct
0.0000 0.0000 0.0000
0.2500 0.2500 0.2500
0.5000 0.5000 0.5000
0.7500 0.7500 0.7500
```

***

Compound: PmNd7Sc4
Source: Alexandria via LeMat-Bulk
Functional: PBE
Structure: optimized geometry

Properties
electronic total energy = -5.248 eV/atom
SG = P-1 (2)
theoretical density = 5.89 Mg/m³
E_form = 0.0394 eV per atom

```
PmNd7Sc4
1.0
6.1847 0.0000 0.0000
0.0035 7.1418 0.0000
2.0596 0.0096 8.5180
Pm Nd Sc
1 7 4
Direct
0.0000 0.0000 0.0000
0.0000 0.5000 0.0000
0.2252 0.0008 0.3366
0.2885 0.7431 0.6591
0.4984 0.2582 0.9899
0.5016 0.7418 0.0101
0.7115 0.2569 0.3409
0.7748 0.9992 0.6634
0.2123 0.4988 0.3417
0.2712 0.2607 0.6627
0.7288 0.7393 0.3373
0.7877 0.5012 0.6583
```